VASP calculation (PBE) on a relaxed NaCoSb crystal.

Output
total DFT energy (no corrections) = -3.989 eV per atom
size of the total moment = 0.2988 μB/atom

a = 4.386 Å, b = 4.386 Å, c = 4.386 Å
α = 60.00°, β = 60.00°, γ = 60.00°
Element x y z (fractional)
1 Na 0.000 0.000 0.000
2 Co 0.250 0.250 0.250
3 Sb 0.500 0.500 0.500

***

VASP calculation (PBE) on a relaxed Tb2SnGe crystal.

Output
total DFT energy (no corrections) = -5.257 eV per atom
size of the total moment = 0.0023 μB/atom

a = 4.125 Å, b = 5.995 Å, c = 5.995 Å
α = 43.52°, β = 90.00°, γ = 90.00°
Element x y z (fractional)
1 Tb 0.000 0.000 0.000
2 Tb 0.500 0.276 0.276
3 Sn 0.500 0.556 0.556
4 Ge 0.000 0.734 0.734

***

VASP calculation (PBE) on a relaxed Ge2Ir2O5 crystal.

Output
excess energy over the best structure of this formula in the dataset = 0 meV per atom
size of the total moment = 0.0044 μB/atom

a = 3.920 Å, b = 3.920 Å, c = 6.834 Å
α = 90.00°, β = 90.00°, γ = 90.00°
Element x y z (fractional)
1 Ge 0.000 0.000 0.000
2 Ge 0.000 0.000 0.500
3 Ir 0.500 0.500 0.191
4 Ir 0.500 0.500 0.809
5 O 0.000 0.500 0.239
6 O 0.000 0.500 0.761
7 O 0.500 0.000 0.239
8 O 0.500 0.000 0.761
9 O 0.500 0.500 0.500

***

VASP calculation (PBE) on a relaxed LiCdAsPt crystal.

Output
excess energy over the best structure of this formula in the dataset = 89 meV per atom
size of the total moment = 0.0000 μB/atom

a = 4.547 Å, b = 4.547 Å, c = 4.547 Å
α = 60.00°, β = 60.00°, γ = 60.00°
Element x y z (fractional)
1 Li 0.000 0.000 0.000
2 Cd 0.750 0.750 0.750
3 As 0.500 0.500 0.500
4 Pt 0.250 0.250 0.250

***

VASP calculation (PBE) on a relaxed NdGa2NiAu crystal.

Output
total DFT energy (no corrections) = -4.537 eV per atom
size of the total moment = 0.0004 μB/atom

a = 4.300 Å, b = 4.300 Å, c = 10.375 Å
α = 90.00°, β = 90.00°, γ = 90.00°
Element x y z (fractional)
1 Nd 0.250 0.250 0.231
2 Nd 0.750 0.750 0.769
3 Ga 0.250 0.250 0.897
4 Ga 0.250 0.750 0.500
5 Ga 0.750 0.250 0.500
6 Ga 0.750 0.750 0.103
7 Ni 0.250 0.750 0.000
8 Ni 0.750 0.250 0.000
9 Au 0.250 0.250 0.649
10 Au 0.750 0.750 0.351

***

VASP calculation (PBE) on a relaxed Tb2DyTe3 crystal.

Output
total DFT energy (no corrections) = -5.180 eV per atom
size of the total moment = 0.0018 μB/atom

a = 4.357 Å, b = 4.357 Å, c = 10.693 Å
α = 90.00°, β = 90.00°, γ = 120.00°
Element x y z (fractional)
1 Tb 0.333 0.667 0.167
2 Tb 0.667 0.333 0.833
3 Dy 0.000 0.000 0.500
4 Te 0.000 0.000 0.000
5 Te 0.333 0.667 0.665
6 Te 0.667 0.333 0.335

***

VASP calculation (PBE) on a relaxed Tl2PdI2Cl2 crystal.

Output
total DFT energy (no corrections) = -3.027 eV per atom

a = 4.413 Å, b = 7.654 Å, c = 7.607 Å
α = 90.00°, β = 90.00°, γ = 90.00°
Element x y z (fractional)
1 Tl 0.000 0.000 0.000
2 Tl 0.000 0.500 0.426
3 Pd 0.500 0.000 0.458
4 I 0.500 0.241 0.700
5 I 0.500 0.759 0.700
6 Cl 0.500 0.220 0.236
7 Cl 0.500 0.780 0.236

***

VASP calculation (PBE) on a relaxed Zr3AlZn2NiPt2 crystal.

Output
total DFT energy (no corrections) = -6.277 eV per atom
size of the total moment = 0.0002 μB/atom

a = 3.532 Å, b = 7.129 Å, c = 7.129 Å
α = 120.55°, β = 90.00°, γ = 90.00°
Element x y z (fractional)
1 Zr 0.000 0.000 0.000
2 Zr 0.000 0.385 0.788
3 Zr 0.000 0.788 0.385
4 Al 0.500 0.634 0.634
5 Zn 0.500 0.142 0.393
6 Zn 0.500 0.393 0.142
7 Ni 0.000 0.397 0.397
8 Pt 0.500 0.050 0.723
9 Pt 0.500 0.723 0.050

***

VASP calculation (PBE) on a relaxed DyHoNi4 crystal.

Output
energy relative to the elements = -37 meV per atom
excess energy over the best structure of this formula in the dataset = 420 meV per atom
size of the total moment = 0.0018 μB/atom

a = 5.346 Å, b = 5.346 Å, c = 8.018 Å
α = 90.00°, β = 90.00°, γ = 120.00°
Element x y z (fractional)
1 Dy 0.000 0.000 0.000
2 Dy 0.000 0.000 0.500
3 Ho 0.333 0.667 0.000
4 Ho 0.667 0.333 0.000
5 Ni 0.000 0.500 0.272
6 Ni 0.000 0.500 0.728
7 Ni 0.333 0.667 0.500
8 Ni 0.500 0.000 0.272
9 Ni 0.500 0.000 0.728
10 Ni 0.500 0.500 0.272
11 Ni 0.500 0.500 0.728
12 Ni 0.667 0.333 0.500

***

VASP calculation (PBE) on a relaxed FeTcSn2 crystal.

Output
total DFT energy (no corrections) = -6.085 eV per atom
size of the total moment = 0.8228 μB/atom

a = 4.693 Å, b = 4.693 Å, c = 4.693 Å
α = 60.00°, β = 60.00°, γ = 60.00°
Element x y z (fractional)
1 Fe 0.000 0.000 0.000
2 Tc 0.750 0.750 0.750
3 Sn 0.250 0.250 0.250
4 Sn 0.500 0.500 0.500

***

VASP calculation (PBE) on a relaxed PmHgB4 crystal.

Output
excess energy over the best structure of this formula in the dataset = 0 meV per atom
size of the total moment = 0.0002 μB/atom

a = 5.336 Å, b = 5.336 Å, c = 5.336 Å
α = 144.82°, β = 119.52°, γ = 71.94°
Element x y z (fractional)
1 Pm 0.000 0.000 0.000
2 Hg 0.500 0.500 0.000
3 B 0.053 0.736 0.317
4 B 0.419 0.736 0.683
5 B 0.581 0.264 0.317
6 B 0.947 0.264 0.683

***

VASP calculation (PBE) on a relaxed Lu2AlB crystal.

Output
total DFT energy (no corrections) = -4.897 eV per atom
size of the total moment = 0.0010 μB/atom

a = 3.471 Å, b = 3.471 Å, c = 16.257 Å
α = 90.00°, β = 90.00°, γ = 120.00°
Element x y z (fractional)
1 Lu 0.333 0.667 0.096
2 Lu 0.333 0.667 0.404
3 Lu 0.667 0.333 0.596
4 Lu 0.667 0.333 0.904
5 Al 0.333 0.667 0.750
6 Al 0.667 0.333 0.250
7 B 0.000 0.000 0.000
8 B 0.000 0.000 0.500